Crystalline Li2BF5 at its relaxed geometry, computed with PBE.

The calculation puts the theoretical density at 2.0 g cm⁻³. For the total moment, the calculation gives 0.1 μB/f.u. The offset from the most stable computed form is 24.1 meV per atom.

The structure belongs to space group Pnnm (No. 58); the cell edges are 8.034, 8.478 and 5.792 Å and the angles 90.00°, 90.00° and 90.00°. Symmetry generates all atoms from Li at (0.000, 0.000, 0.219), Li at (0.153, 0.354, 0.500), B at (0.223, 0.748, 0.500), F at (0.096, 0.630, 0.500), F at (0.138, 0.916, 0.000), F at (0.139, 0.898, 0.500) and F at (0.177, 0.233, 0.199).

---

Crystalline K2NbGaS5 at its relaxed geometry, computed with PBE.

The calculation puts the theoretical density at 2.8 g cm⁻³. For the total moment, the calculation gives 0.0 μB/f.u. The calculation puts the total energy at -0.36573 Ry/atom.

The structure belongs to space group Cmc2_1 (No. 36); the cell edges are 3.631, 18.329 and 14.098 Å and the angles 90.00°, 90.00° and 90.00°. Symmetry generates all atoms from K at (0.000, 0.099, 0.000), K at (0.000, 0.132, 0.632), Nb at (0.000, 0.226, 0.355), Ga at (0.000, 0.432, 0.766), S at (0.000, 0.068, 0.368), S at (0.000, 0.281, 0.974), S at (0.000, 0.303, 0.732), S at (0.000, 0.346, 0.325) and S at (0.000, 0.493, 0.632).

---

Crystalline Sr2AcInTe4 at its relaxed geometry, computed with PBE.

The calculation puts the theoretical density at 5.5 g cm⁻³. For the total moment, the calculation gives 0.0 μB/f.u. The calculation puts the total energy at -0.31004 Ry/atom.

The structure belongs to space group P2/m (No. 10); the cell edges are 8.177, 4.787 and 8.351 Å and the angles 90.00°, 108.83° and 90.00°. Symmetry generates all atoms from Sr at (0.000, 0.000, 0.000), Sr at (0.000, 0.500, 0.500), Ac at (0.500, 0.000, 0.500), In at (0.500, 0.500, 0.000), Te at (0.246, 0.000, 0.740) and Te at (0.252, 0.500, 0.255).

---

The lowest theoretical density belongs to which entry? Li2BF5